No. 1
First-principles (PBE) data for crystalline SrGaAsS2 at its relaxed geometry, as listed in Alexandria via LeMat-Bulk.

Cell: 5.1290 5.1290 4.8003 Å, 90.00 90.00 90.00°
Positions (direct):
Sr 0.0000 0.0000 0.0000
Ga 0.5000 0.5000 0.0000
As 0.5000 0.5000 0.5000
S 0.0000 0.5000 0.5000
S 0.5000 0.0000 0.5000

Calculated values
energy relative to the elements, uncorrected = -0.4122 eV/atom
final energy = -3.935 eV/atom
SG = P4/mmm (123)
DOS at the Fermi energy = 2.02 states/eV/cell

***

No. 2
First-principles (PBE) data for crystalline CuAgF3 at its relaxed geometry, as listed in Alexandria via LeMat-Bulk.

Cell: 5.8688 5.8688 5.8688 Å, 61.67 61.67 61.67°
Positions (direct):
Cu 0.2500 0.2500 0.2500
Cu 0.7500 0.7500 0.7500
Ag 0.0000 0.0000 0.0000
Ag 0.5000 0.5000 0.5000
F 0.0653 0.7500 0.4347
F 0.2500 0.5653 0.9347
F 0.4347 0.0653 0.7500
F 0.5653 0.9347 0.2500
F 0.7500 0.4347 0.0653
F 0.9347 0.2500 0.5653

Calculated values
energy relative to the elements, uncorrected = -1.1808 eV/atom
final energy = -3.693 eV/atom
SG = R-3c (167)
distance to the lowest polymorph of the same formula = 131.6 meV/atom
DOS at the Fermi energy = 4.65 states/eV/cell

***

No. 3
First-principles (PBE) data for crystalline BaSc3Be at its relaxed geometry, as listed in Alexandria via LeMat-Bulk.

Cell: 5.1366 5.1366 5.1366 Å, 90.00 90.00 90.00°
Positions (direct):
Ba 0.0000 0.0000 0.0000
Sc 0.0000 0.5000 0.5000
Sc 0.5000 0.0000 0.5000
Sc 0.5000 0.5000 0.0000
Be 0.5000 0.5000 0.5000

Calculated values
final energy = -4.624 eV/atom
SG = Pm-3m (221)
distance to the lowest polymorph of the same formula = 0.0 meV/atom
DOS at the Fermi energy = 7.62 states/eV/cell
DFT formation energy = 305 meV/atom

***

No. 4
First-principles (PBE) data for crystalline RbNaAsRh at its relaxed geometry, as listed in Alexandria via LeMat-Bulk.

Cell: 4.1854 4.1854 14.2701 Å, 90.00 90.00 90.00°
Positions (direct):
Rb 0.2500 0.2500 0.2283
Rb 0.7500 0.7500 0.7717
Na 0.2500 0.7500 0.5000
Na 0.7500 0.2500 0.5000
As 0.2500 0.2500 0.9073
As 0.7500 0.7500 0.0927
Rh 0.2500 0.7500 0.0000
Rh 0.7500 0.2500 0.0000

Calculated values
final energy = -3.891 eV/atom
SG = P4/nmm (129)
DOS at the Fermi energy = 5.14 states/eV/cell
DFT formation energy = -319 meV/atom

***

No. 5
First-principles (PBE) data for crystalline ReAsCl3 at its relaxed geometry, as listed in Alexandria via LeMat-Bulk.

Cell: 4.7537 4.7537 4.7537 Å, 90.00 90.00 90.00°
Positions (direct):
Re 0.0000 0.0000 0.0000
As 0.5000 0.5000 0.5000
Cl 0.0000 0.0000 0.5000
Cl 0.0000 0.5000 0.0000
Cl 0.5000 0.0000 0.0000

Calculated values
energy relative to the elements, uncorrected = 0.6762 eV/atom
final energy = -3.851 eV/atom
SG = Pm-3m (221)
distance to the lowest polymorph of the same formula = 0.0 meV/atom
DOS at the Fermi energy = 4.81 states/eV/cell

***

No. 6
First-principles (PBE) data for crystalline LaNd2Sm2Y2 at its relaxed geometry, as listed in Alexandria via LeMat-Bulk.

Cell: 11.4883 5.1602 8.1857 Å, 90.00 98.07 90.00°
Positions (direct):
La 0.0000 0.0000 0.0000
La 0.5000 0.5000 0.0000
Nd 0.0722 0.5000 0.7142
Nd 0.4278 0.0000 0.2858
Nd 0.5722 0.0000 0.7142
Nd 0.9278 0.5000 0.2858
Sm 0.1426 0.0000 0.4308
Sm 0.3574 0.5000 0.5692
Sm 0.6426 0.5000 0.4308
Sm 0.8574 0.0000 0.5692
Y 0.2143 0.5000 0.1447
Y 0.2857 0.0000 0.8553
Y 0.7143 0.0000 0.1447
Y 0.7857 0.5000 0.8553

Calculated values
final energy = -5.243 eV/atom
SG = C2/m (12)
DOS at the Fermi energy = 21.23 states/eV/cell
DFT formation energy = 18 meV/atom

***

No. 7
First-principles (PBE) data for crystalline Li2ReRu at its relaxed geometry, as listed in Alexandria via LeMat-Bulk.

Cell: 2.6437 4.1452 5.3477 Å, 90.00 100.65 90.00°
Positions (direct):
Li 0.0000 0.0000 0.0000
Li 0.2895 0.5000 0.8119
Re 0.7972 0.5000 0.3276
Ru 0.4026 0.0000 0.4931

Calculated values
final energy = -6.204 eV/atom
SG = Pm (6)
distance to the lowest polymorph of the same formula = 29.0 meV/atom
DOS at the Fermi energy = 2.30 states/eV/cell
DFT formation energy = 184 meV/atom

***

No. 8
First-principles (PBE) data for crystalline Pa2TeO8F at its relaxed geometry, as listed in Alexandria via LeMat-Bulk.

Cell: 4.6425 4.8865 7.1565 Å, 104.65 106.09 91.72°
Positions (direct):
Pa 0.1294 0.1195 0.2954
Pa 0.8706 0.8805 0.7046
Te 0.5000 0.5000 0.0000
O 0.1815 0.5811 0.7814
O 0.2329 0.9976 0.5821
O 0.2421 0.1746 0.0009
O 0.3207 0.7386 0.1872
O 0.6793 0.2614 0.8128
O 0.7579 0.8254 0.9991
O 0.7671 0.0024 0.4179
O 0.8185 0.4189 0.2186
F 0.5000 0.5000 0.5000

Calculated values
energy relative to the elements, uncorrected = -2.3331 eV/atom
final energy = -7.639 eV/atom
SG = P-1 (2)
DOS at the Fermi energy = 0.05 states/eV/cell

***

No. 9
First-principles (PBE) data for crystalline ZrTl2VW at its relaxed geometry, as listed in Alexandria via LeMat-Bulk.

Cell: 5.4219 5.4219 4.4420 Å, 90.00 90.00 90.00°
Positions (direct):
Zr 0.0000 0.0000 0.0000
Tl 0.0000 0.5000 0.0000
Tl 0.5000 0.0000 0.0000
V 0.0000 0.0000 0.5000
W 0.5000 0.5000 0.5000

Calculated values
final energy = -4.936 eV/atom
SG = P4/mmm (123)
DOS at the Fermi energy = 6.00 states/eV/cell
DFT formation energy = 2134 meV/atom

***

No. 10
First-principles (PBE) data for crystalline Li4Dy3TmSe8 at its relaxed geometry, as listed in Alexandria via LeMat-Bulk.

Cell: 8.0076 8.0076 8.0076 Å, 60.89 60.89 60.89°
Positions (direct):
Li 0.0000 0.0000 0.0000
Li 0.0000 0.5000 0.5000
Li 0.5000 0.0000 0.5000
Li 0.5000 0.5000 0.0000
Dy 0.0000 0.0000 0.5000
Dy 0.0000 0.5000 0.0000
Dy 0.5000 0.0000 0.0000
Tm 0.5000 0.5000 0.5000
Se 0.2512 0.2512 0.2512
Se 0.2508 0.2508 0.7464
Se 0.2508 0.7464 0.2508
Se 0.2536 0.7492 0.7492
Se 0.7464 0.2508 0.2508
Se 0.7492 0.2536 0.7492
Se 0.7492 0.7492 0.2536
Se 0.7488 0.7488 0.7488

Calculated values
energy relative to the elements, uncorrected = -1.6967 eV/atom
final energy = -5.060 eV/atom
SG = R-3m (166)
DOS at the Fermi energy = 0.00 states/eV/cell

***

No. 11
First-principles (PBE) data for crystalline NiRhAu2 at its relaxed geometry, as listed in Alexandria via LeMat-Bulk.

Cell: 3.9824 3.9824 3.9026 Å, 90.00 90.00 90.00°
Positions (direct):
Ni 0.0000 0.0000 0.0000
Rh 0.5000 0.5000 0.0000
Au 0.0000 0.5000 0.5000
Au 0.5000 0.0000 0.5000

Calculated values
final energy = -4.726 eV/atom
SG = P4/mmm (123)
distance to the lowest polymorph of the same formula = 110.4 meV/atom
DOS at the Fermi energy = 5.82 states/eV/cell
DFT formation energy = 196 meV/atom

***

No. 12
First-principles (PBE) data for crystalline Mn2TlPb at its relaxed geometry, as listed in Alexandria via LeMat-Bulk.

Cell: 3.3570 3.3570 27.0406 Å, 90.00 90.00 120.00°
Positions (direct):
Mn 0.0000 0.0000 0.2489
Mn 0.0000 0.0000 0.7511
Mn 0.3333 0.6667 0.4178
Mn 0.3333 0.6667 0.9156
Mn 0.6667 0.3333 0.0844
Mn 0.6667 0.3333 0.5822
Tl 0.0000 0.0000 0.5000
Tl 0.3333 0.6667 0.1667
Tl 0.6667 0.3333 0.8333
Pb 0.0000 0.0000 0.0000
Pb 0.3333 0.6667 0.6667
Pb 0.6667 0.3333 0.3333

Calculated values
final energy = -5.574 eV/atom
SG = R-3m (166)
DOS at the Fermi energy = 9.08 states/eV/cell
DFT formation energy = 529 meV/atom

***

> Which of these has the lowest DOS at the Fermi energy?

Li4Dy3TmSe8

***

Please write out number 1 again, unchanged.
First-principles (PBE) data for crystalline SrGaAsS2 at its relaxed geometry, as listed in Alexandria via LeMat-Bulk.

Cell: 5.1290 5.1290 4.8003 Å, 90.00 90.00 90.00°
Positions (direct):
Sr 0.0000 0.0000 0.0000
Ga 0.5000 0.5000 0.0000
As 0.5000 0.5000 0.5000
S 0.0000 0.5000 0.5000
S 0.5000 0.0000 0.5000

Calculated values
energy relative to the elements, uncorrected = -0.4122 eV/atom
final energy = -3.935 eV/atom
SG = P4/mmm (123)
DOS at the Fermi energy = 2.02 states/eV/cell

***

> Look up the DOS at the Fermi energy of the seventh one.

2.30 states/eV/cell